Record 1
Entry from Alexandria: a crystal of TaSbTe2Pd relaxed with PBEsol (meta-GGA SCAN).

Summary:
The uncorrected formation energy comes out at 0.96 eV/atom. Its total energy is -41.262 eV per atom. The theoretical density comes out at 8.397 g/cm3.

Unit cell a=4.9834 b=5.1343 c=5.1343 alpha=90.00 beta=90.00 gamma=90.00
Site moments in Bohr magnetons follow the coordinates.
Sites, in units of the cell vectors:
Te 0.0000 0.5000 0.0000  -0.16
Te 0.0000 0.0000 0.5000  -0.16
Ta 0.5000 0.5000 0.5000  1.83
Sb 0.5000 0.0000 0.0000  -0.04
Pd 0.0000 0.0000 0.0000  -0.02

***

Record 2
Entry from Alexandria: a crystal of TlPbSe2 relaxed with PBEsol (meta-GGA SCAN).

Summary:
The uncorrected formation energy comes out at -0.34 eV/atom. Its total energy is -47.413 eV per atom. The theoretical density comes out at 8.495 g/cm3.

Unit cell a=4.0133 b=4.1433 c=6.9894 alpha=90.02 beta=106.68 gamma=90.00
Sites, in units of the cell vectors:
Tl 0.4838 0.6245 0.9676
Pb 0.7119 0.1254 0.4238
Se 0.2780 0.6255 0.5560
Se 0.0263 0.1246 0.0526

***

- theoretical density of number 2 (TlPbSe2)?
  8.495 g/cm3

***

- Look up the theoretical density of the first one.
  8.397 g/cm3